# 1
# TaPb2Au (PBE-GGA, optimized geometry)
data_TaPb2Au
_symmetry_space_group_name_H-M 'P 1'
_symmetry_Int_Tables_number 1
_cell_length_a 5.063
_cell_length_b 5.063
_cell_length_c 5.063
_cell_angle_alpha 60.00
_cell_angle_beta 60.00
_cell_angle_gamma 60.00
loop_
_symmetry_equiv_pos_as_xyz
'x,y,z'
loop_
_atom_site_label
_atom_site_type_symbol
_atom_site_fract_x
_atom_site_fract_y
_atom_site_fract_z
Ta1 Ta 0.000 0.000 0.000
Pb1 Pb 0.250 0.250 0.250
Pb2 Pb 0.750 0.750 0.750
Au1 Au 0.500 0.500 0.500
# space-group type	Fm-3m (225)
# ΔH_f (0 K)	2.8	eV per formula unit
# final energy	-19.758	eV per formula unit
# relative energy among the computed polymorphs	0.538	eV/atom

=====

# 2
# PmHo2Al (PBE-GGA, optimized geometry)
data_PmHo2Al
_symmetry_space_group_name_H-M 'P 1'
_symmetry_Int_Tables_number 1
_cell_length_a 4.789
_cell_length_b 4.789
_cell_length_c 4.775
_cell_angle_alpha 90.00
_cell_angle_beta 90.00
_cell_angle_gamma 90.00
loop_
_symmetry_equiv_pos_as_xyz
'x,y,z'
loop_
_atom_site_label
_atom_site_type_symbol
_atom_site_fract_x
_atom_site_fract_y
_atom_site_fract_z
Pm1 Pm 0.000 0.000 0.000
Ho1 Ho 0.000 0.500 0.500
Ho2 Ho 0.500 0.000 0.500
Al1 Al 0.500 0.500 0.000
# space-group type	P4/mmm (123)
# ΔH_f (0 K)	-0.7	eV per formula unit
# final energy	-18.359	eV per formula unit
# relative energy among the computed polymorphs	0.018	eV/atom

=====

# 3
# SrLaEuTl (PBE-GGA, optimized geometry)
data_SrLaEuTl
_symmetry_space_group_name_H-M 'P 1'
_symmetry_Int_Tables_number 1
_cell_length_a 5.874
_cell_length_b 5.874
_cell_length_c 5.874
_cell_angle_alpha 60.00
_cell_angle_beta 60.00
_cell_angle_gamma 60.00
loop_
_symmetry_equiv_pos_as_xyz
'x,y,z'
loop_
_atom_site_label
_atom_site_type_symbol
_atom_site_fract_x
_atom_site_fract_y
_atom_site_fract_z
Sr1 Sr 0.000 0.000 0.000
La1 La 0.500 0.500 0.500
Eu1 Eu 0.750 0.750 0.750
Tl1 Tl 0.250 0.250 0.250
# space-group type	F-43m (216)
# ΔH_f (0 K)	-0.3	eV per formula unit
# final energy	-19.568	eV per formula unit

=====

# 4
# Dy2ErTmP4 (PBE-GGA, optimized geometry)
data_Dy2ErTmP4
_symmetry_space_group_name_H-M 'P 1'
_symmetry_Int_Tables_number 1
_cell_length_a 6.897
_cell_length_b 3.984
_cell_length_c 6.898
_cell_angle_alpha 90.00
_cell_angle_beta 109.47
_cell_angle_gamma 90.00
loop_
_symmetry_equiv_pos_as_xyz
'x,y,z'
loop_
_atom_site_label
_atom_site_type_symbol
_atom_site_fract_x
_atom_site_fract_y
_atom_site_fract_z
Dy1 Dy 0.000 0.000 0.000
Dy2 Dy 0.000 0.500 0.500
Er1 Er 0.500 0.000 0.500
Tm1 Tm 0.500 0.500 0.000
P1 P 0.253 0.000 0.752
P2 P 0.253 0.500 0.250
P3 P 0.747 0.000 0.248
P4 P 0.747 0.500 0.750
# space-group type	P2/m (10)
# ΔH_f (0 K)	-12.9	eV per formula unit
# final energy	-52.775	eV per formula unit

=====

# 5
# LaSmHo (PBE-GGA, optimized geometry)
data_LaSmHo
_symmetry_space_group_name_H-M 'P 1'
_symmetry_Int_Tables_number 1
_cell_length_a 3.633
_cell_length_b 3.633
_cell_length_c 8.896
_cell_angle_alpha 90.00
_cell_angle_beta 90.00
_cell_angle_gamma 120.00
loop_
_symmetry_equiv_pos_as_xyz
'x,y,z'
loop_
_atom_site_label
_atom_site_type_symbol
_atom_site_fract_x
_atom_site_fract_y
_atom_site_fract_z
La1 La 0.000 0.000 0.000
Sm1 Sm 0.667 0.333 0.344
Ho1 Ho 0.333 0.667 0.667
# space-group type	P3m1 (156)
# ΔH_f (0 K)	0.1	eV per formula unit
# final energy	-14.161	eV per formula unit
# relative energy among the computed polymorphs	0.000	eV/atom

=====

# 6
# Cd3Ga12Te5 (PBE-GGA, optimized geometry)
data_Cd3Ga12Te5
_symmetry_space_group_name_H-M 'P 1'
_symmetry_Int_Tables_number 1
_cell_length_a 14.370
_cell_length_b 14.370
_cell_length_c 14.370
_cell_angle_alpha 109.47
_cell_angle_beta 109.47
_cell_angle_gamma 109.47
loop_
_symmetry_equiv_pos_as_xyz
'x,y,z'
loop_
_atom_site_label
_atom_site_type_symbol
_atom_site_fract_x
_atom_site_fract_y
_atom_site_fract_z
Cd1 Cd 0.125 0.250 0.375
Cd2 Cd 0.125 0.375 0.750
Cd3 Cd 0.250 0.375 0.125
Cd4 Cd 0.250 0.875 0.625
Cd5 Cd 0.375 0.125 0.250
Cd6 Cd 0.375 0.750 0.125
Cd7 Cd 0.625 0.250 0.875
Cd8 Cd 0.625 0.875 0.750
Cd9 Cd 0.750 0.125 0.375
Cd10 Cd 0.750 0.625 0.875
Cd11 Cd 0.875 0.625 0.250
Cd12 Cd 0.875 0.750 0.625
Ga1 Ga 0.073 0.237 0.150
Ga2 Ga 0.073 0.336 0.923
Ga3 Ga 0.077 0.650 0.413
Ga4 Ga 0.077 0.927 0.664
Ga5 Ga 0.087 0.737 0.664
Ga6 Ga 0.087 0.850 0.423
Ga7 Ga 0.150 0.073 0.237
Ga8 Ga 0.150 0.577 0.913
Ga9 Ga 0.164 0.237 0.587
Ga10 Ga 0.164 0.427 0.577
Ga11 Ga 0.237 0.150 0.073
Ga12 Ga 0.237 0.587 0.164
Ga13 Ga 0.263 0.336 0.913
Ga14 Ga 0.263 0.427 0.350
Ga15 Ga 0.336 0.913 0.263
Ga16 Ga 0.336 0.923 0.073
Ga17 Ga 0.350 0.263 0.427
Ga18 Ga 0.350 0.587 0.923
Ga19 Ga 0.413 0.077 0.650
Ga20 Ga 0.413 0.836 0.763
Ga21 Ga 0.423 0.087 0.850
Ga22 Ga 0.423 0.836 0.573
Ga23 Ga 0.427 0.350 0.263
Ga24 Ga 0.427 0.577 0.164
Ga25 Ga 0.573 0.423 0.836
Ga26 Ga 0.573 0.650 0.737
Ga27 Ga 0.577 0.164 0.427
Ga28 Ga 0.577 0.913 0.150
Ga29 Ga 0.587 0.164 0.237
Ga30 Ga 0.587 0.923 0.350
Ga31 Ga 0.650 0.413 0.077
Ga32 Ga 0.650 0.737 0.573
Ga33 Ga 0.664 0.077 0.927
Ga34 Ga 0.664 0.087 0.737
Ga35 Ga 0.737 0.573 0.650
Ga36 Ga 0.737 0.664 0.087
Ga37 Ga 0.763 0.413 0.836
Ga38 Ga 0.763 0.850 0.927
Ga39 Ga 0.836 0.573 0.423
Ga40 Ga 0.836 0.763 0.413
Ga41 Ga 0.850 0.423 0.087
Ga42 Ga 0.850 0.927 0.763
Ga43 Ga 0.913 0.150 0.577
Ga44 Ga 0.913 0.263 0.336
Ga45 Ga 0.923 0.073 0.336
Ga46 Ga 0.923 0.350 0.587
Ga47 Ga 0.927 0.664 0.077
Ga48 Ga 0.927 0.763 0.850
Te1 Te 0.000 0.000 0.000
Te2 Te 0.000 0.000 0.500
Te3 Te 0.000 0.500 0.000
Te4 Te 0.000 0.500 0.500
Te5 Te 0.125 0.750 0.875
Te6 Te 0.125 0.875 0.250
Te7 Te 0.250 0.125 0.875
Te8 Te 0.250 0.625 0.375
Te9 Te 0.375 0.250 0.625
Te10 Te 0.375 0.625 0.750
Te11 Te 0.500 0.000 0.000
Te12 Te 0.500 0.000 0.500
Te13 Te 0.500 0.500 0.000
Te14 Te 0.500 0.500 0.500
Te15 Te 0.625 0.375 0.250
Te16 Te 0.625 0.750 0.375
Te17 Te 0.750 0.375 0.625
Te18 Te 0.750 0.875 0.125
Te19 Te 0.875 0.125 0.750
Te20 Te 0.875 0.250 0.125
# space-group type	Ia-3d (230)
# energy relative to the elements, uncorrected	4	kJ/mol of atoms
# final energy	-53.861	eV per formula unit

=====

# 7
# Tb8NdSc2 (PBE-GGA, optimized geometry)
data_Tb8NdSc2
_symmetry_space_group_name_H-M 'P 1'
_symmetry_Int_Tables_number 1
_cell_length_a 9.223
_cell_length_b 9.223
_cell_length_c 9.223
_cell_angle_alpha 145.88
_cell_angle_beta 127.31
_cell_angle_gamma 64.28
loop_
_symmetry_equiv_pos_as_xyz
'x,y,z'
loop_
_atom_site_label
_atom_site_type_symbol
_atom_site_fract_x
_atom_site_fract_y
_atom_site_fract_z
Tb1 Tb 0.153 0.357 0.796
Tb2 Tb 0.164 0.164 0.000
Tb3 Tb 0.300 0.000 0.300
Tb4 Tb 0.438 0.643 0.796
Tb5 Tb 0.562 0.357 0.204
Tb6 Tb 0.700 0.000 0.700
Tb7 Tb 0.836 0.836 0.000
Tb8 Tb 0.847 0.643 0.204
Nd1 Nd 0.000 0.500 0.500
Sc1 Sc 0.300 0.800 0.500
Sc2 Sc 0.700 0.200 0.500
# space-group type	Immm (71)
# ΔH_f (0 K)	1.4	eV per formula unit
# final energy	-53.109	eV per formula unit
# relative energy among the computed polymorphs	0.000	eV/atom

=====

# 8
# Nd6HoEr5 (PBE-GGA, optimized geometry)
data_Nd6HoEr5
_symmetry_space_group_name_H-M 'P 1'
_symmetry_Int_Tables_number 1
_cell_length_a 6.245
_cell_length_b 6.245
_cell_length_c 11.781
_cell_angle_alpha 95.05
_cell_angle_beta 95.05
_cell_angle_gamma 119.99
loop_
_symmetry_equiv_pos_as_xyz
'x,y,z'
loop_
_atom_site_label
_atom_site_type_symbol
_atom_site_fract_x
_atom_site_fract_y
_atom_site_fract_z
Nd1 Nd 0.084 0.417 0.750
Nd2 Nd 0.249 0.249 0.250
Nd3 Nd 0.417 0.084 0.750
Nd4 Nd 0.583 0.916 0.250
Nd5 Nd 0.751 0.751 0.750
Nd6 Nd 0.916 0.583 0.250
Ho1 Ho 0.500 0.500 0.000
Er1 Er 0.000 0.000 0.500
Er2 Er 0.167 0.833 0.000
Er3 Er 0.333 0.667 0.500
Er4 Er 0.667 0.333 0.500
Er5 Er 0.833 0.167 0.000
# space-group type	C2/m (12)
# ΔH_f (0 K)	0.2	eV per formula unit
# final energy	-55.845	eV per formula unit

=====

# 9
# Cd2PW (PBE-GGA, optimized geometry)
data_Cd2PW
_symmetry_space_group_name_H-M 'P 1'
_symmetry_Int_Tables_number 1
_cell_length_a 5.836
_cell_length_b 5.836
_cell_length_c 5.836
_cell_angle_alpha 148.30
_cell_angle_beta 131.31
_cell_angle_gamma 59.28
loop_
_symmetry_equiv_pos_as_xyz
'x,y,z'
loop_
_atom_site_label
_atom_site_type_symbol
_atom_site_fract_x
_atom_site_fract_y
_atom_site_fract_z
Cd1 Cd 0.000 0.000 0.000
Cd2 Cd 0.707 0.207 0.500
P1 P 0.281 0.781 0.500
W1 W 0.448 0.448 0.000
# space-group type	Imm2 (44)
# ΔH_f (0 K)	1.6	eV per formula unit
# final energy	-18.625	eV per formula unit
# relative energy among the computed polymorphs	0.272	eV/atom

=====

# 10
# Tl3CdMo (PBE-GGA, optimized geometry)
data_Tl3CdMo
_symmetry_space_group_name_H-M 'P 1'
_symmetry_Int_Tables_number 1
_cell_length_a 5.582
_cell_length_b 5.582
_cell_length_c 5.582
_cell_angle_alpha 90.00
_cell_angle_beta 90.00
_cell_angle_gamma 90.00
loop_
_symmetry_equiv_pos_as_xyz
'x,y,z'
loop_
_atom_site_label
_atom_site_type_symbol
_atom_site_fract_x
_atom_site_fract_y
_atom_site_fract_z
Tl1 Tl 0.000 0.000 0.500
Tl2 Tl 0.000 0.500 0.000
Tl3 Tl 0.500 0.000 0.000
Cd1 Cd 0.000 0.000 0.000
Mo1 Mo 0.500 0.500 0.500
# space-group type	Pm-3m (221)
# ΔH_f (0 K)	6.0	eV per formula unit
# final energy	-12.855	eV per formula unit
# relative energy among the computed polymorphs	0.547	eV/atom

=====

# 11
# PmHo2Pb2 (PBE-GGA, optimized geometry)
data_PmHo2Pb2
_symmetry_space_group_name_H-M 'P 1'
_symmetry_Int_Tables_number 1
_cell_length_a 9.790
_cell_length_b 9.790
_cell_length_c 6.599
_cell_angle_alpha 90.00
_cell_angle_beta 90.00
_cell_angle_gamma 150.96
loop_
_symmetry_equiv_pos_as_xyz
'x,y,z'
loop_
_atom_site_label
_atom_site_type_symbol
_atom_site_fract_x
_atom_site_fract_y
_atom_site_fract_z
Pm1 Pm 0.110 0.890 0.500
Pm2 Pm 0.890 0.110 0.000
Ho1 Ho 0.316 0.684 0.471
Ho2 Ho 0.494 0.506 0.744
Ho3 Ho 0.506 0.494 0.244
Ho4 Ho 0.684 0.316 0.971
Pb1 Pb 0.073 0.927 0.993
Pb2 Pb 0.293 0.707 0.961
Pb3 Pb 0.707 0.293 0.461
Pb4 Pb 0.927 0.073 0.493
# space-group type	Cmc2_1 (36)
# ΔH_f (0 K)	-2.1	eV per formula unit
# final energy	-23.470	eV per formula unit

=====

# 12
# SrCo2Si (PBE-GGA, optimized geometry)
data_SrCo2Si
_symmetry_space_group_name_H-M 'P 1'
_symmetry_Int_Tables_number 1
_cell_length_a 5.072
_cell_length_b 5.072
_cell_length_c 2.900
_cell_angle_alpha 104.64
_cell_angle_beta 104.64
_cell_angle_gamma 107.13
loop_
_symmetry_equiv_pos_as_xyz
'x,y,z'
loop_
_atom_site_label
_atom_site_type_symbol
_atom_site_fract_x
_atom_site_fract_y
_atom_site_fract_z
Sr1 Sr 0.000 0.000 0.000
Co1 Co 0.000 0.500 0.500
Co2 Co 0.500 0.000 0.500
Si1 Si 0.500 0.500 0.000
# space-group type	C2/m (12)
# energy relative to the elements, uncorrected	63	kJ/mol of atoms
# final energy	-18.705	eV per formula unit